This record from Alexandria describes crystalline NaMo6O17 at its relaxed geometry. The functional is GGA+U.

M_tot = 0.1250 μB per atom
energy = -6.97 eV/atom
volume = 15.51 A^3/atom
mass density = 3.88 Mg/m³
symmetry = P2_1/m, No. 11

a b c (Å): 5.6612 9.7648 13.4673
angles (deg): 89.54 90.00 90.00
Closest atoms and distances in Å follow each position.
Fractional coordinates of all 48 atoms:
Na1 0.7500 0.0699 0.9031  6 O 2.32-2.57
Na2 0.2500 0.9301 0.0969  6 O 2.32-2.57
O1 0.0108 0.9915 0.2526  1 Mo 1.81
O2 0.7500 0.2544 0.2263  1 Mo 1.80
O3 0.9881 0.2876 0.9185  1 Mo 1.82
O4 0.9925 0.1687 0.5749  1 Mo 1.79
O5 0.7500 0.5295 0.9431  1 Mo 1.81
O6 0.2500 0.9593 0.9257  1 Mo 1.76
O7 0.4892 0.9915 0.2526  1 Mo 1.81
O8 0.4925 0.8313 0.4251  1 Mo 1.79
O9 0.0075 0.8313 0.4251  1 Mo 1.79
O10 0.0066 0.3347 0.4023  2 Mo 1.90-1.94
O11 0.7500 0.0407 0.0743  1 Mo 1.76
O12 0.7500 0.5876 0.4212  1 Mo 1.79
O13 0.2500 0.7456 0.7737  1 Mo 1.80
O14 0.2500 0.4124 0.5788  1 Mo 1.79
O15 0.5119 0.2876 0.9185  1 Mo 1.82
O16 0.9934 0.6653 0.5977  2 Mo 1.90-1.94
O17 0.9892 0.0085 0.7474  1 Mo 1.81
O18 0.7500 0.2443 0.7451  1 Mo 1.80
O19 0.7500 0.9211 0.5792  1 Mo 1.79
O20 0.4881 0.7124 0.0815  1 Mo 1.82
O21 0.0119 0.7124 0.0815  1 Mo 1.82
O22 0.5075 0.1687 0.5749  1 Mo 1.79
O23 0.2500 0.4705 0.0569  1 Mo 1.81
O24 0.9952 0.4862 0.7635  1 Mo 1.80
O25 0.2500 0.1775 0.0854  1 Mo 1.74
O26 0.4934 0.3347 0.4023  2 Mo 1.90-1.94
O27 0.2500 0.0789 0.4208  1 Mo 1.79
O28 0.2500 0.7557 0.2549  1 Mo 1.80
O29 0.7500 0.8225 0.9146  1 Mo 1.74
O30 0.5066 0.6653 0.5977  2 Mo 1.90-1.94
O31 0.5108 0.0085 0.7474  1 Mo 1.81
O32 0.5048 0.4862 0.7635  1 Mo 1.80
O33 0.4952 0.5138 0.2365  1 Mo 1.80
O34 0.0048 0.5138 0.2365  1 Mo 1.80
Mo1 0.2500 0.9137 0.3641  3 O 1.79
Mo2 0.2500 0.3067 0.9956  4 O 1.74-1.82
Mo3 0.2500 0.9270 0.7976  4 O 1.76-1.81
Mo4 0.7500 0.4166 0.3275  6 O 1.94-2.11
Mo5 0.7500 0.7233 0.5101  3 O 1.79-1.90
Mo6 0.7500 0.6933 0.0044  4 O 1.74-1.82
Mo7 0.7500 0.3974 0.8188  3 O 1.80
Mo8 0.2500 0.6026 0.1812  3 O 1.80
Mo9 0.2500 0.2767 0.4899  3 O 1.79-1.90
Mo10 0.2500 0.5834 0.6725  6 O 1.94-2.11
Mo11 0.7500 0.0730 0.2024  4 O 1.76-1.81
Mo12 0.7500 0.0863 0.6359  3 O 1.79